Entry 1:
DFT (GGA-PBE) results for a geometry-optimized Tm2Fe3Ge4 structure.

energy above the lowest structure with this stoichiometry	0	meV/atom
ΔH_f (0 K)	-3.9	eV per formula unit
symmetry	Cmce
density	9.2	g cm⁻³

```
Tm2Fe3Ge4
1.0
5.055 0.000 -1.980
0.000 7.282 0.000
0.116 0.000 7.736
Tm Fe Ge
4 6 8
direct
0.112 0.594 0.224
0.888 0.406 0.776
0.388 0.094 0.776
0.612 0.906 0.224
0.000 0.000 0.000
0.500 0.500 0.000
0.526 0.750 0.551
0.974 0.250 0.449
0.474 0.250 0.449
0.026 0.750 0.551
0.694 0.750 0.888
0.806 0.250 0.112
0.306 0.250 0.112
0.194 0.750 0.888
0.184 0.973 0.368
0.816 0.027 0.632
0.316 0.473 0.632
0.684 0.527 0.368
```

Entry 2:
DFT (GGA-PBE) results for a geometry-optimized Cd3Pb2O7 structure.

formation energy without anion corrections	-0.9475	eV/atom
symmetry	Cmc2_1
density	8.3	g cm⁻³

```
Cd3Pb2O7
1.0
5.884 0.000 0.000
0.000 5.587 -1.580
0.000 -0.042 10.518
Cd Pb O
6 4 14
direct
0.714 0.750 0.000
0.214 0.250 0.000
0.812 0.950 0.398
0.312 0.050 0.602
0.812 0.552 0.602
0.312 0.448 0.398
0.756 0.143 0.793
0.256 0.857 0.207
0.256 0.650 0.793
0.756 0.350 0.207
0.682 0.324 0.407
0.182 0.676 0.593
0.182 0.083 0.407
0.682 0.917 0.593
0.051 0.585 0.275
0.551 0.415 0.725
0.551 0.690 0.275
0.051 0.310 0.725
0.931 0.999 0.152
0.431 0.001 0.848
0.840 0.372 0.000
0.340 0.628 0.000
0.931 0.847 0.848
0.431 0.153 0.152
```

Entry 3:
DFT (GGA-PBE) results for a geometry-optimized HfCr2BiN structure.

formation energy without anion corrections	2.3516	eV/atom
symmetry	P4/mmm
density	5.6	g cm⁻³

```
HfCr2BiN
1.0
-0.593 -1.004 5.061
-3.713 -3.971 -1.223
3.827 -3.502 -0.246
Cr Hf Bi N
2 1 1 1
direct
0.000 0.000 0.500
0.500 0.000 0.000
0.000 0.500 0.000
0.000 0.000 0.000
0.500 0.500 0.500
```

Entry 4:
DFT (GGA-PBE) results for a geometry-optimized Mn2InPt2 structure.

ΔH_f (0 K)	0.4	eV per formula unit
symmetry	I4/mmm
density	13.1	g cm⁻³

```
Mn2InPt2
1.0
3.338 0.000 0.000
0.000 3.338 0.000
1.669 1.669 6.975
Mn Pt In
2 2 1
direct
0.750 0.250 0.500
0.250 0.750 0.500
0.393 0.393 0.214
0.607 0.607 0.786
0.000 0.000 0.000
```

Entry 5:
DFT (GGA-PBE) results for a geometry-optimized Tm6Hg5Pd structure.

ΔH_f (0 K)	-6.6	eV per formula unit
symmetry	P2/m
density	12.2	g cm⁻³

```
Tm6Hg5Pd
1.0
-1.235 0.455 4.963
6.234 -3.308 1.855
2.924 7.061 2.761
Tm Hg Pd
6 5 1
direct
0.838 0.755 0.323
0.838 0.245 0.323
0.500 0.239 0.000
0.500 0.761 0.000
0.162 0.755 0.677
0.162 0.245 0.677
0.669 0.500 0.664
0.329 0.000 0.341
0.000 0.500 0.000
0.671 0.000 0.659
0.331 0.500 0.336
0.000 0.000 0.000
```

Entry 6:
DFT (GGA-PBE) results for a geometry-optimized Hg2AsIr2 structure.

ΔH_f (0 K)	1.7	eV per formula unit
symmetry	P4/mbm
density	15.3	g cm⁻³

```
Hg2AsIr2
1.0
6.458 0.000 0.000
0.000 6.458 0.000
0.000 0.000 4.488
As Ir Hg
2 4 4
direct
0.000 0.000 0.000
0.500 0.500 0.000
0.346 0.846 0.000
0.846 0.654 0.000
0.654 0.154 0.000
0.154 0.346 0.000
0.159 0.659 0.500
0.659 0.841 0.500
0.841 0.341 0.500
0.341 0.159 0.500
```

Entry 7:
DFT (GGA-PBE) results for a geometry-optimized NbIn2Br structure.

formation energy without anion corrections	0.6844	eV/atom
energy above the lowest structure with this stoichiometry	252	meV/atom
symmetry	Fm-3m
density	6.9	g cm⁻³

```
NbIn2Br
1.0
3.801 0.407 3.470
2.154 4.597 0.942
-0.858 2.379 4.501
Nb Br In
1 1 2
direct
0.500 0.500 0.500
0.000 0.000 0.000
0.250 0.250 0.250
0.750 0.750 0.750
```

Entry 8:
DFT (GGA-PBE) results for a geometry-optimized CdTe2Pb structure.

formation energy without anion corrections	0.1118	eV/atom
symmetry	F-43m
density	8.1	g cm⁻³

```
CdTe2Pb
1.0
5.501 0.000 0.000
2.750 4.764 0.000
2.750 1.588 4.491
Pb Te Cd
1 2 1
direct
0.750 0.750 0.750
0.000 0.000 0.000
0.250 0.250 0.250
0.500 0.500 0.500
```

- Which value of density does entry 1 give?
  9.2 g cm⁻³

- Which value of density does entry 3 give?
  5.6 g cm⁻³

- Which formula does entry 2 have?
  Cd3Pb2O7

- What is the density in the sixth record?
  15.3 g cm⁻³